Hg2AsRh | PBE | optimized geometry

Values from the calculation:
Uncorrected energy in eV per atom: -2.7849
M_tot in μB/f.u.: 0.00
Space-group type: No. 216

Geometry as POSCAR:
```
Hg2AsRh
1.0
-3.4788 0.3387 -3.2556
-1.2736 -3.8380 -2.5425
-4.2204 -2.0938 0.7878
Hg Rh As
2 1 1
Cartesian
0.0000 0.0000 0.0000
-2.2432 -1.3983 -1.2526
-6.7296 -4.1948 -3.7578
-4.4864 -2.7965 -2.5052
```